[1]
Material: KMgBi2
Method: DFT, GGA-PBE
State: optimized geometry

The structure in POSCAR format:
```
KMgBi2
1.0
-5.060 2.840 0.826
-2.284 -4.791 2.485
-0.573 2.031 10.299
Mg K Bi
2 2 4
Cartesian
-3.672 -0.976 1.655 Mg
-3.264 -1.868 7.220 Mg
0.000 0.000 0.000 K
-4.652 1.948 6.390 K
-2.973 1.337 3.301 Bi
-2.821 -1.785 4.332 Bi
-3.463 0.207 9.269 Bi
-6.577 0.401 10.318 Bi
```

Results
Energy relative to the elements, eV/atom: -0.141
E, eV per atom: -2.754
Space-group type: I-42d

[2]
Material: Sm4HoEr2Mg
Method: DFT, GGA-PBE
State: optimized geometry

The structure in POSCAR format:
```
Sm4HoEr2Mg
1.0
-4.628 0.275 -1.931
1.586 -2.375 -4.139
-0.658 -11.087 -0.001
Sm Ho Er Mg
4 1 2 1
Cartesian
0.688 -10.128 -3.091 Sm
-4.389 -3.059 -2.980 Sm
-1.282 -4.382 -4.083 Sm
-2.419 -8.805 -1.989 Sm
-4.164 -6.455 -4.002 Ho
1.585 -2.376 -4.138 Er
-2.643 -5.405 -0.966 Er
-1.522 -1.051 -3.034 Mg
```

Results
Energy relative to the elements, eV/atom: 0.011
E, eV per atom: -4.261
Space-group type: P4/mmm

[3]
Material: Tb8DySc4
Method: DFT, GGA-PBE
State: optimized geometry

The structure in POSCAR format:
```
Tb8DySc4
1.0
0.193 -6.896 -1.290
4.872 2.939 4.109
-7.021 2.098 6.823
Tb Dy Sc
8 1 4
Cartesian
1.421 -0.885 4.942 Tb
-3.377 -0.974 4.701 Tb
-0.690 -2.091 2.313 Tb
-3.814 -4.522 4.513 Tb
-1.266 0.232 7.329 Tb
-1.178 -2.932 6.737 Tb
-0.778 1.073 2.905 Tb
1.858 2.663 5.129 Tb
-1.074 2.519 5.466 Dy
0.000 0.000 0.000 Sc
2.436 1.469 2.055 Sc
2.532 -1.979 1.409 Sc
0.096 -3.448 -0.645 Sc
```

Results
Energy relative to the elements, eV/atom: 0.252
E, eV per atom: -4.899
Space-group type: R-3m

[4]
Material: Ca7Cu
Method: DFT, GGA-PBE
State: optimized geometry

The structure in POSCAR format:
```
Ca7Cu
1.0
-1.961 -6.505 -3.210
-4.153 -4.969 3.812
-7.150 -1.214 -1.966
Ca Cu
7 1
Cartesian
-3.057 -5.737 0.301 Ca
-4.555 -3.860 -2.588 Ca
-0.980 -3.253 -1.605 Ca
-3.575 -0.607 -0.983 Ca
-2.076 -2.484 1.906 Ca
-5.651 -3.092 0.923 Ca
-6.632 -6.344 -0.682 Ca
0.000 0.000 0.000 Cu
```

Results
Energy relative to the elements, eV/atom: 0.140
E, eV per atom: -2.123
Space-group type: Fm-3m

[5]
Material: AcPmGd2
Method: DFT, GGA-PBE
State: optimized geometry

The structure in POSCAR format:
```
AcPmGd2
1.0
3.729 0.000 0.000
0.000 3.729 0.000
0.000 0.000 10.329
Ac Gd Pm
1 2 1
Cartesian
1.864 1.864 5.165 Ac
0.000 0.000 7.872 Gd
0.000 0.000 2.457 Gd
1.864 1.864 0.000 Pm
```

Results
Energy relative to the elements, eV/atom: 0.038
E, eV per atom: -9.217
Space-group type: P4/mmm
Polymorph energy (0 for the lowest one), meV per atom: 3

[6]
Material: CoAg2Cl
Method: DFT, GGA-PBE
State: optimized geometry

The structure in POSCAR format:
```
CoAg2Cl
1.0
3.088 0.000 0.000
0.000 3.727 -0.273
0.000 0.490 6.811
Co Ag Cl
1 2 1
Cartesian
1.544 2.252 5.271 Co
0.000 0.476 6.604 Ag
1.544 1.960 1.156 Ag
0.000 2.126 3.587 Cl
```

Results
E, eV per atom: -3.508
Space-group type: Pm
Polymorph energy (0 for the lowest one), meV per atom: 27
Formation energy from raw total energies, eV per atom: 0.156

[7]
Material: LaMg2ZnAu4
Method: DFT, GGA-PBE
State: optimized geometry

The structure in POSCAR format:
```
LaMg2ZnAu4
1.0
-1.828 -3.281 2.651
2.173 -1.344 3.822
-4.306 4.733 6.877
La Mg Zn Au
1 2 1 4
Cartesian
0.000 0.000 0.000 La
-2.787 -0.179 9.817 Mg
-1.174 0.287 3.533 Mg
-1.980 0.054 6.675 Zn
-3.325 1.963 8.110 Au
-1.377 -2.180 8.312 Au
-2.583 2.288 5.038 Au
-0.636 -1.855 5.239 Au
```

Results
Energy relative to the elements, eV/atom: -0.582
E, eV per atom: -3.395
Space-group type: R-3m

[8]
Material: Cd2BiTe
Method: DFT, GGA-PBE
State: optimized geometry

The structure in POSCAR format:
```
Cd2BiTe
1.0
-2.192 1.121 3.314
0.352 -2.123 3.523
6.354 5.303 4.979
Te Bi Cd
1 1 2
Cartesian
2.257 2.151 5.907 Te
0.000 0.000 0.000 Bi
4.178 3.543 4.136 Cd
0.336 0.759 7.679 Cd
```

Results
E, eV per atom: -2.115
Space-group type: R-3m
Polymorph energy (0 for the lowest one), meV per atom: 163
Formation energy from raw total energies, eV per atom: 0.098